# Sr2SiPt

A relaxed Sr2SiPt crystal (GGA-PBEsol, Alexandria via LeMat-Bulk).

Values from the calculation:
raw formation energy: -0.70 eV per atom
M_tot: 0.00 μB/cell
calculated total energy: -38.3 eV/cell

a = 4.3529 Å, b = 4.7894 Å, c = 10.4622 Å
α = 90.00°, β = 90.00°, γ = 90.00°
With the nearest neighbours (Å) after each atom.
Space group Amm2 (No. 38)
Symmetry-distinct sites (fractional):
Sr 0.0000 0.0000 0.0000  3 Pt 3.15-3.18, 4 Si 3.42
Sr 0.5000 0.0000 0.2941  3 Si 3.11-3.25, 4 Pt 3.40
Si 0.5000 0.0000 0.6051  2 Pt 2.37
Pt 0.0000 0.0000 0.6958  2 Si 2.37